(1)
Be2PtI | Alexandria via LeMat-Bulk | GGA-PBE | optimized geometry; energy above the most stable polymorph in this dataset = 0.600 eV/atom; ΔE_f (raw) = 744.0 meV/atom; M_tot = 0.000 Bohr magnetons per cell; density = 9.14 Mg/m³
1.0
0.000 3.137 3.137
3.137 0.000 3.137
3.137 3.137 0.000
Be Pt I
2 1 1
direct
0.250 0.250 0.250
0.750 0.750 0.750
0.000 0.000 0.000
0.500 0.500 0.500

(2)
ThZnSnHg | Alexandria via LeMat-Bulk | GGA-PBE | optimized geometry; energy of formation = -166 meV per atom; M_tot = 0.000 Bohr magnetons per cell; density = 10.53 Mg/m³
1.0
0.000 3.651 3.651
3.651 0.000 3.651
3.651 3.651 0.000
Th Zn Sn Hg
1 1 1 1
direct
0.000 0.000 0.000
0.750 0.750 0.750
0.500 0.500 0.500
0.250 0.250 0.250

(3)
Hg2IrPt | Alexandria via LeMat-Bulk | GGA-PBE | optimized geometry; energy above the most stable polymorph in this dataset = 0.037 eV/atom; energy of formation = 358 meV per atom; M_tot = 0.884 Bohr magnetons per cell; density = 17.79 Mg/m³
1.0
1.478 0.853 9.725
-1.478 0.853 9.725
0.000 -1.707 9.725
Hg Ir Pt
2 1 1
direct
0.000 0.000 0.000
0.237 0.237 0.237
0.748 0.748 0.748
0.487 0.487 0.487

(4)
CeSmOs | Alexandria via LeMat-Bulk | GGA-PBE | optimized geometry; energy above the most stable polymorph in this dataset = 0.158 eV/atom; energy of formation = 27 meV per atom; M_tot = 0.216 Bohr magnetons per cell; density = 10.57 Mg/m³
1.0
4.476 0.000 0.000
-2.238 3.876 0.000
0.000 0.000 4.353
Ce Sm Os
1 1 1
direct
0.000 0.000 0.000
0.667 0.333 0.543
0.333 0.667 0.218